48
Lattice="8.030 0.000 -0.001 1.668 7.855 -0.001 1.656 1.341 7.704" Properties=species:S:1:pos:R:3 comment="Tm2Si9B36C, optimized geometry, DFT PBE-GGA" formation_energy_uncorrected_ev_per_atom=-0.20 magnetic_moment_mub_per_atom=0.00 mass_density_g_cm3=3.389 energy_ev_per_cell=-317.2 vol_a3_per_atom=10.12 pbc="T T T"
Tm 6.513 8.519 3.854
Tm 9.686 4.602 3.854
Si 5.220 6.767 5.744
Si 7.715 6.249 2.600
Si 7.704 3.701 5.744
Si 6.118 2.435 1.965
Si 3.647 2.954 5.074
Si 3.653 5.479 1.965
Si 6.510 5.273 4.422
Si 4.894 3.964 3.305
Si 10.847 8.786 7.371
B 9.080 6.228 7.554
B 7.985 8.788 6.182
B 10.263 7.138 4.815
B 9.113 8.556 4.815
B 10.255 5.985 6.182
B 7.978 7.588 7.554
B 2.295 2.948 0.177
B 3.352 0.440 1.545
B 1.119 2.079 2.862
B 2.266 0.663 2.862
B 1.126 3.187 1.545
B 3.360 1.632 0.177
B 10.799 6.854 7.658
B 8.948 9.140 7.658
B 10.808 8.754 5.424
B 0.634 2.194 0.134
B 2.278 0.164 0.134
B 0.626 0.507 2.115
B 8.426 4.781 1.358
B 6.435 2.614 6.887
B 3.900 7.778 4.473
B 8.418 2.199 4.473
B 3.894 5.752 6.887
B 6.427 7.249 1.358
B 2.933 4.347 6.379
B 4.853 6.623 0.826
B 7.477 1.418 3.158
B 2.940 7.020 3.158
B 7.486 3.372 0.826
B 4.861 1.966 6.379
B 2.144 4.520 0.973
B 4.866 1.158 0.973
B 2.139 1.733 4.276
B 9.236 4.607 6.760
B 6.425 8.078 6.760
B 9.241 7.485 3.350
C 0.762 0.617 0.508